Here is a relaxed structure of InHg2Pt from OQMD via LeMat-Bulk. Energies are from PBE-GGA.

a = 4.914 Å, b = 4.914 Å, c = 4.914 Å
α = 60.00°, β = 60.00°, γ = 60.00°
Positions (direct):
In 0.500 0.500 0.500
Hg 0.750 0.750 0.750
Hg 0.000 0.000 0.000
Pt 0.250 0.250 0.250

Space group = No. 216
Crystal system = cubic



Here is a relaxed structure of In2HgPt from OQMD via LeMat-Bulk. Energies are from PBE-GGA.

a = 4.949 Å, b = 4.949 Å, c = 4.949 Å
α = 60.00°, β = 60.00°, γ = 60.00°
Positions (direct):
Pt 0.750 0.750 0.750
Hg 0.500 0.500 0.500
In 0.250 0.250 0.250
In 0.000 0.000 0.000

Space group = No. 216
Crystal system = cubic



Here is a relaxed structure of Pu5In4Hg from OQMD via LeMat-Bulk. Energies are from PBE-GGA.

a = 3.209 Å, b = 3.209 Å, c = 24.543 Å
α = 90.00°, β = 90.00°, γ = 90.00°
Site moments in Bohr magnetons follow the coordinates.
Positions (direct):
Pu 0.500 0.500 0.500  5.52
Pu 0.500 0.500 0.098  5.52
In 0.000 0.000 0.802  -0.06
Pu 0.500 0.500 0.902  5.52
Pu 0.500 0.500 0.299  5.53
In 0.000 0.000 0.601  -0.06
Pu 0.500 0.500 0.701  5.53
Hg 0.000 0.000 0.000  0.01
In 0.000 0.000 0.399  -0.06
In 0.000 0.000 0.198  -0.06

Space group = No. 123
Crystal system = tetragonal



Here is a relaxed structure of Pu3InHg2 from OQMD via LeMat-Bulk. Energies are from PBE-GGA.

a = 3.204 Å, b = 3.204 Å, c = 14.540 Å
α = 90.00°, β = 90.00°, γ = 90.00°
Site moments in Bohr magnetons follow the coordinates.
Positions (direct):
Pu 0.000 0.000 0.331  5.53
In 0.500 0.500 0.500  -0.06
Hg 0.500 0.500 0.166  0.00
Pu 0.000 0.000 0.669  5.53
Pu 0.000 0.000 0.000  5.53
Hg 0.500 0.500 0.834  0.00

Space group = No. 123
Crystal system = tetragonal



Here is a relaxed structure of Rb6InHg from OQMD via LeMat-Bulk. Energies are from PBE-GGA.

a = 8.792 Å, b = 8.792 Å, c = 6.868 Å
α = 90.00°, β = 90.00°, γ = 120.00°
Positions (direct):
Rb 0.488 0.976 0.000
Rb 0.488 0.512 0.000
Rb 0.314 0.157 0.500
Rb 0.843 0.686 0.500
Hg 0.000 0.000 0.000
In 0.333 0.667 0.500
Rb 0.843 0.157 0.500
Rb 0.024 0.512 0.000

Space group = No. 187
Crystal system = hexagonal



Here is a relaxed structure of InReHg3S4 from OQMD via LeMat-Bulk. Energies are from PBE-GGA.

a = 7.536 Å, b = 7.536 Å, c = 7.536 Å
α = 90.00°, β = 90.00°, γ = 90.00°
Positions (direct):
Hg 0.000 0.500 0.500
Hg 0.500 0.500 0.000
S 0.334 0.334 0.334
Hg 0.500 0.000 0.500
In 0.000 0.000 0.000
S 0.334 0.666 0.666
S 0.666 0.334 0.666
S 0.666 0.666 0.334
Re 0.500 0.500 0.500

Space group = No. 215
Crystal system = cubic



Here is a relaxed structure of ScInHgS3 from OQMD via LeMat-Bulk. Energies are from PBE-GGA.

a = 7.842 Å, b = 7.842 Å, c = 10.118 Å
α = 90.00°, β = 90.00°, γ = 152.17°
Positions (direct):
S 0.040 0.960 0.750
Hg 0.689 0.311 0.250
In 0.658 0.342 0.750
S 0.385 0.615 0.974
Sc 0.000 0.000 0.500
S 0.385 0.615 0.526
Hg 0.311 0.689 0.750
S 0.615 0.385 0.026
Sc 0.000 0.000 0.000
S 0.960 0.040 0.250
S 0.615 0.385 0.474
In 0.342 0.658 0.250

Space group = No. 63
Crystal system = orthorhombic



Here is a relaxed structure of In2HgSe2S2 from OQMD via LeMat-Bulk. Energies are from PBE-GGA.

a = 7.063 Å, b = 7.063 Å, c = 5.884 Å
α = 113.90°, β = 113.90°, γ = 108.54°
Positions (direct):
Se 0.581 0.856 0.488
Se 0.144 0.419 0.512
S 0.388 0.116 0.989
In 0.747 0.253 0.500
In 0.504 0.496 0.000
S 0.884 0.612 0.011
Hg 0.002 0.998 0.000

Space group = No. 5
Crystal system = monoclinic



no.,final energy (eV per atom)
1,-2.25
2,-2.89
3,-8.46
4,-7.86
5,-1.10
6,-3.56
7,-4.54
8,-3.45